Below is a relaxed structure of YHf2ScP4, with properties calculated at the GGA-PBE level. Values from VASP.

Geometry as Quantum ESPRESSO input:
```
&SYSTEM
  ibrav = 0, nat = 8, ntyp = 4
/
ATOMIC_SPECIES
Y 88.91 Y.upf
Hf 178.49 Hf.upf
Sc 44.96 Sc.upf
P 30.97 P.upf
ATOMIC_POSITIONS crystal
Y 0.0000 0.0000 0.0000
Hf 0.0000 0.5000 0.5000
Hf 0.5000 0.0000 0.5000
Sc 0.5000 0.5000 0.0000
P 0.2536 0.0000 0.7417
P 0.2607 0.5000 0.2632
P 0.7393 0.5000 0.7368
P 0.7464 0.0000 0.2583
CELL_PARAMETERS angstrom
6.5341 0.0000 0.0000
0.0000 3.7727 0.0000
-2.1872 0.0000 6.2373
```

Computed properties:
uncorrected energy = -65.656 eV per cell
symmetry = P2/m, No. 10
calculated formation energy = -1.414 eV/atom
calculated volume = 19.219 Å³/atom
mass density = 6.64 Mg/m³
magnetic moment = 0.0 μB per formula unit